Computed, not measured: a geometry-optimized La3Zn4Au2 structure at the PBE-GGA level of DFT.

a b c (Å): 4.667 5.968 8.892
angles (deg): 111.13 90.00 113.02
Positions (direct):
La (0.672, 0.343, 0.663)
La (0.000, 0.000, 0.000)
La (0.328, 0.657, 0.337)
Zn (0.728, 0.456, 0.057)
Zn (0.272, 0.544, 0.943)
Zn (0.957, 0.913, 0.618)
Zn (0.043, 0.087, 0.382)
Au (0.607, 0.214, 0.274)
Au (0.393, 0.786, 0.726)

Results
The calculation puts the formation energy from the elements at -0.56 eV/atom.

Computed, not measured: a geometry-optimized TlPAuO structure at the PBE-GGA level of DFT.

a b c (Å): 6.359 4.075 7.360
angles (deg): 90.00 112.49 90.00
Positions (direct):
Tl (0.647, 0.000, 0.923)
Tl (0.647, 0.500, 0.423)
P (0.156, 0.000, 0.421)
P (0.156, 0.500, 0.921)
Au (0.244, 0.000, 0.122)
Au (0.244, 0.500, 0.622)
O (0.886, 0.000, 0.330)
O (0.886, 0.500, 0.830)

Results
As for the distance to the lowest polymorph of the same formula: 8.6 meV/atom. The formation energy from raw total energies comes out at -0.564 eV per atom.

Computed, not measured: a geometry-optimized TaCoRe structure at the PBE-GGA level of DFT.

a b c (Å): 5.197 5.197 5.197
angles (deg): 149.78 141.00 50.11
Positions (direct):
Co (0.018, 0.018, 0.000)
Re (0.645, 0.645, 0.000)
Ta (0.337, 0.337, 0.000)

Results
As for the distance to the lowest polymorph of the same formula: 129.1 meV/atom. The calculation puts the formation energy from the elements at 0.08 eV/atom.

Computed, not measured: a geometry-optimized Sc2V2Tc structure at the PBE-GGA level of DFT.

a b c (Å): 6.132 6.132 4.762
angles (deg): 90.00 90.00 90.00
Last column: magnetic moment on the atom in μB.
Positions (direct):
Sc (0.173, 0.673, 0.500)  -0.01
Sc (0.673, 0.827, 0.500)  -0.01
Sc (0.827, 0.327, 0.500)  -0.01
Sc (0.327, 0.173, 0.500)  -0.01
Tc (0.000, 0.000, 0.000)  -0.04
Tc (0.500, 0.500, 0.000)  -0.04
V (0.362, 0.862, 0.000)  0.18
V (0.862, 0.638, 0.000)  0.18
V (0.638, 0.138, 0.000)  0.18
V (0.138, 0.362, 0.000)  0.18

Results
The calculation puts the formation energy from the elements at 0.02 eV/atom.

Computed, not measured: a geometry-optimized SrYSb structure at the PBE-GGA level of DFT.

a b c (Å): 5.292 5.292 5.292
angles (deg): 60.00 60.00 60.00
Positions (direct):
Sb (0.750, 0.750, 0.750)
Sr (0.000, 0.000, 0.000)
Y (0.500, 0.500, 0.500)

Results
The formation energy from raw total energies comes out at -0.539 eV per atom.

Computed, not measured: a geometry-optimized P2PtAu structure at the PBE-GGA level of DFT.

a b c (Å): 3.649 3.649 6.661
angles (deg): 95.46 95.46 67.70
Positions (direct):
Au (0.250, 0.250, 0.250)
P (0.129, 0.129, 0.903)
P (0.371, 0.371, 0.597)
Pt (0.750, 0.750, 0.750)

Results
As for the distance to the lowest polymorph of the same formula: 0.0 meV/atom. The calculation puts the formation energy from the elements at -0.20 eV/atom.

Computed, not measured: a geometry-optimized Ce2DyF8 structure at the PBE-GGA level of DFT.

a b c (Å): 4.004 5.426 7.752
angles (deg): 108.78 104.97 90.00
Last column: magnetic moment on the atom in μB.
Positions (direct):
Ce (0.822, 0.301, 0.645)  1.36
Ce (0.178, 0.699, 0.355)  1.36
Dy (0.500, 0.000, 0.000)  0.01
F (0.405, 0.582, 0.809)  0.00
F (0.648, 0.956, 0.295)  0.00
F (0.781, 0.702, 0.562)  0.00
F (0.975, 0.197, 0.951)  0.00
F (0.219, 0.298, 0.438)  0.00
F (0.352, 0.044, 0.705)  0.00
F (0.595, 0.418, 0.191)  0.00
F (0.025, 0.803, 0.049)  0.00

Results
As for the distance to the lowest polymorph of the same formula: 0.0 meV/atom. The formation energy from raw total energies comes out at -3.863 eV per atom.

Computed, not measured: a geometry-optimized CdAu structure at the PBE-GGA level of DFT.

a b c (Å): 5.426 5.426 5.426
angles (deg): 90.00 90.00 90.00
Positions (direct):
Au (0.403, 0.403, 0.403)
Au (0.097, 0.597, 0.903)
Au (0.597, 0.903, 0.097)
Au (0.903, 0.097, 0.597)
Cd (0.096, 0.096, 0.096)
Cd (0.404, 0.904, 0.596)
Cd (0.904, 0.596, 0.404)
Cd (0.596, 0.404, 0.904)

Results
The calculation puts the formation energy from the elements at -0.15 eV/atom.

E for every record listed, in sequence, given in eV per atom: -3.50; -4.57; -10.39; -8.23; -4.63; -5.23; -6.72; -2.25.
Fermi-level density of states for every record listed, in sequence, given in states/eV per atom: 0.7527; 0.2481; 0.8651; 0.8981; 1.2596; 0.2757; 1.1173; 0.2287.